Computed, not measured: a geometry-optimized Ga3CuPt2 structure at the PBE-GGA level of DFT.

It has space group R-3c (No. 167, hexagonal axes), with a = 6.7231 Å, b = 6.7231 Å, c = 15.7990 Å, α = 90.00°, β = 90.00° and γ = 120.00°. The asymmetric unit holds Ga at (0.0000, 0.3261, 0.2500), Cu at (0.0000, 0.0000, 0.0000) and Pt at (0.0000, 0.0000, 0.1609).

The spin magnetization comes out at 0.0 μB/f.u. The relative energy among the computed polymorphs comes out at 0 meV/atom. The total energy is -4.6759 eV/atom. The energy of formation comes out at -2.80 eV per formula unit. The crystal system is trigonal.

---

Computed, not measured: a geometry-optimized Th2MgNi4Sn3 structure at the PBE-GGA level of DFT.

It has space group P-4m2 (No. 115), with a = 4.425 Å, b = 4.425 Å, c = 10.144 Å, α = 90.00°, β = 90.00° and γ = 90.00°. The asymmetric unit holds Th at (0.000, 0.500, 0.232), Mg at (0.000, 0.000, 0.500), Ni at (0.000, 0.000, 0.000), Ni at (0.000, 0.500, 0.629), Ni at (0.500, 0.500, 0.000), Sn at (0.000, 0.500, 0.873) and Sn at (0.500, 0.500, 0.500).

The spin magnetization comes out at 0.0 μB/f.u. The total energy is -5.6269 eV/atom. The energy of formation comes out at -4.70 eV per formula unit. The crystal system is tetragonal.

---

Computed, not measured: a geometry-optimized Cd2HgTe structure at the PBE-GGA level of DFT.

It has space group Cmmm (No. 65), with a = 4.155 Å, b = 5.735 Å, c = 8.963 Å, α = 90.00°, β = 90.00° and γ = 90.00°. The asymmetric unit holds Cd at (0.000, 0.000, 0.242), Hg at (0.000, 0.500, 0.000) and Te at (0.000, 0.500, 0.500).

The spin magnetization comes out at 0.0 μB/f.u. The relative energy among the computed polymorphs comes out at 175 meV/atom. The total energy is -1.2567 eV/atom. The calculation puts the uncorrected formation energy at 0.062 eV/atom. The crystal system is orthorhombic.

---

Computed, not measured: a geometry-optimized Cs3MgCr structure at the PBE-GGA level of DFT.

It has space group Pm-3m (No. 221), with a = 7.492 Å, b = 7.492 Å, c = 7.492 Å, α = 90.00°, β = 90.00° and γ = 90.00°. The asymmetric unit holds Cs at (0.000, 0.000, 0.500), Mg at (0.000, 0.000, 0.000) and Cr at (0.500, 0.500, 0.500).

The spin magnetization comes out at 5.4 μB/f.u. The total energy is -1.9019 eV/atom. The energy of formation comes out at 4.27 eV per formula unit. The crystal system is cubic.